# 1
This record from Alexandria describes KEu3Rh after structural relaxation. The functional is PBE-GGA.

Calculated values
SG: Pm-3m, No. 221
Magnetization: 21.95 μB per cell
E_form: -140 meV/atom
Density: 5.04 g cm⁻³
Total DFT energy (no corrections): -7.99 eV/atom

The structure in CIF format:
```
data_KEu3Rh
_symmetry_space_group_name_H-M 'P 1'
_symmetry_Int_Tables_number 1
_symmetry_space_group_name_Hall 'P 1'
_cell_length_a 5.820
_cell_length_b 5.820
_cell_length_c 5.820
_cell_angle_alpha 90.00
_cell_angle_beta 90.00
_cell_angle_gamma 90.00
loop_
_atom_site_label
_atom_site_type_symbol
_atom_site_fract_x
_atom_site_fract_y
_atom_site_fract_z
K1 K 0.000 0.000 0.000
Eu1 Eu 0.000 0.500 0.500
Eu2 Eu 0.500 0.000 0.500
Eu3 Eu 0.500 0.500 0.000
Rh1 Rh 0.500 0.500 0.500
```

---

# 2
This record from Alexandria describes NaP3H after structural relaxation. The functional is PBE-GGA.

Calculated values
SG: Pm-3m, No. 221
Magnetization: 0.00 μB per cell
Density: 2.79 g cm⁻³
Total DFT energy (no corrections): -3.61 eV/atom
ΔE to the lowest computed polymorph: 0.2308 eV/atom

The structure in CIF format:
```
data_NaP3H
_symmetry_space_group_name_H-M 'P 1'
_symmetry_Int_Tables_number 1
_symmetry_space_group_name_Hall 'P 1'
_cell_length_a 4.114
_cell_length_b 4.114
_cell_length_c 4.114
_cell_angle_alpha 90.00
_cell_angle_beta 90.00
_cell_angle_gamma 90.00
loop_
_atom_site_label
_atom_site_type_symbol
_atom_site_fract_x
_atom_site_fract_y
_atom_site_fract_z
Na1 Na 0.000 0.000 0.000
P1 P 0.000 0.500 0.500
P2 P 0.500 0.000 0.500
P3 P 0.500 0.500 0.000
H1 H 0.500 0.500 0.500
```

---

# 3
This record from Alexandria describes Cs3Pu2TlO9 after structural relaxation. The functional is PBE-GGA.

Calculated values
SG: P-3m1, No. 164
Magnetization: 1.97 μB per cell
Formation energy (no corrections): -2.03 eV per atom
Density: 7.11 g cm⁻³
Total DFT energy (no corrections): -7.24 eV/atom

The structure in CIF format:
```
data_Cs3Pu2TlO9
_symmetry_space_group_name_H-M 'P 1'
_symmetry_Int_Tables_number 1
_symmetry_space_group_name_Hall 'P 1'
_cell_length_a 6.421
_cell_length_b 6.421
_cell_length_c 8.076
_cell_angle_alpha 90.00
_cell_angle_beta 90.00
_cell_angle_gamma 120.00
loop_
_atom_site_label
_atom_site_type_symbol
_atom_site_fract_x
_atom_site_fract_y
_atom_site_fract_z
Cs1 Cs 0.000 0.000 0.000
Cs2 Cs 0.333 0.667 0.651
Cs3 Cs 0.667 0.333 0.349
Pu1 Pu 0.333 0.667 0.142
Pu2 Pu 0.667 0.333 0.858
Tl1 Tl 0.000 0.000 0.500
O1 O 0.000 0.500 0.000
O2 O 0.193 0.385 0.283
O3 O 0.193 0.807 0.283
O4 O 0.385 0.193 0.717
O5 O 0.500 0.000 0.000
O6 O 0.500 0.500 0.000
O7 O 0.615 0.807 0.283
O8 O 0.807 0.193 0.717
O9 O 0.807 0.615 0.717
```

---

# 4
This record from Alexandria describes P4C3 after structural relaxation. The functional is PBE-GGA.

Calculated values
SG: I4/mmm, No. 139
Magnetization: 0.00 μB per cell
E_form: 1334 meV/atom
Density: 3.12 g cm⁻³
Total DFT energy (no corrections): -5.71 eV/atom
ΔE to the lowest computed polymorph: 0.8273 eV/atom

The structure in CIF format:
```
data_P4C3
_symmetry_space_group_name_H-M 'P 1'
_symmetry_Int_Tables_number 1
_symmetry_space_group_name_Hall 'P 1'
_cell_length_a 10.643
_cell_length_b 10.643
_cell_length_c 10.643
_cell_angle_alpha 164.59
_cell_angle_beta 164.59
_cell_angle_gamma 21.86
loop_
_atom_site_label
_atom_site_type_symbol
_atom_site_fract_x
_atom_site_fract_y
_atom_site_fract_z
P1 P 0.051 0.051 0.000
P2 P 0.299 0.299 0.000
P3 P 0.701 0.701 0.000
P4 P 0.949 0.949 0.000
C1 C 0.208 0.208 0.000
C2 C 0.500 0.500 0.000
C3 C 0.792 0.792 0.000
```

---

# 5
This record from Alexandria describes BeC2Cl2 after structural relaxation. The functional is PBE-GGA.

Calculated values
SG: P4/mbm, No. 127
Magnetization: 0.00 μB per cell
Formation energy (no corrections): 1.66 eV per atom
Density: 2.65 g cm⁻³
Total DFT energy (no corrections): -3.52 eV/atom
ΔE to the lowest computed polymorph: 1.0156 eV/atom

The structure in CIF format:
```
data_BeC2Cl2
_symmetry_space_group_name_H-M 'P 1'
_symmetry_Int_Tables_number 1
_symmetry_space_group_name_Hall 'P 1'
_cell_length_a 5.605
_cell_length_b 5.605
_cell_length_c 4.142
_cell_angle_alpha 90.00
_cell_angle_beta 90.00
_cell_angle_gamma 90.00
loop_
_atom_site_label
_atom_site_type_symbol
_atom_site_fract_x
_atom_site_fract_y
_atom_site_fract_z
Be1 Be 0.000 0.000 0.000
Be2 Be 0.500 0.500 0.000
C1 C 0.229 0.271 0.000
C2 C 0.271 0.771 0.000
C3 C 0.729 0.229 0.000
C4 C 0.771 0.729 0.000
Cl1 Cl 0.195 0.305 0.500
Cl2 Cl 0.305 0.805 0.500
Cl3 Cl 0.695 0.195 0.500
Cl4 Cl 0.805 0.695 0.500
```

---

# 6
This record from Alexandria describes BaNaLi3B6O12 after structural relaxation. The functional is PBE-GGA.

Calculated values
SG: R-3, No. 148
Magnetization: 0.00 μB per cell
Formation energy (no corrections): -2.48 eV per atom
Density: 2.90 g cm⁻³
Total DFT energy (no corrections): -7.20 eV/atom

The structure in CIF format:
```
data_BaNaLi3B6O12
_symmetry_space_group_name_H-M 'P 1'
_symmetry_Int_Tables_number 1
_symmetry_space_group_name_Hall 'P 1'
_cell_length_a 8.398
_cell_length_b 8.398
_cell_length_c 8.398
_cell_angle_alpha 69.43
_cell_angle_beta 69.43
_cell_angle_gamma 69.43
loop_
_atom_site_label
_atom_site_type_symbol
_atom_site_fract_x
_atom_site_fract_y
_atom_site_fract_z
Ba1 Ba 0.149 0.149 0.149
Ba2 Ba 0.851 0.851 0.851
Na1 Na 0.334 0.334 0.334
Na2 Na 0.666 0.666 0.666
Li1 Li 0.215 0.404 0.722
Li2 Li 0.278 0.785 0.596
Li3 Li 0.404 0.722 0.215
Li4 Li 0.596 0.278 0.785
Li5 Li 0.722 0.215 0.404
Li6 Li 0.785 0.596 0.278
B1 B 0.067 0.693 0.485
B2 B 0.135 0.687 0.166
B3 B 0.166 0.135 0.687
B4 B 0.307 0.515 0.933
B5 B 0.313 0.834 0.865
B6 B 0.485 0.067 0.693
B7 B 0.515 0.933 0.307
B8 B 0.687 0.166 0.135
B9 B 0.693 0.485 0.067
B10 B 0.834 0.865 0.313
B11 B 0.865 0.313 0.834
B12 B 0.933 0.307 0.515
O1 O 0.055 0.241 0.815
O2 O 0.098 0.195 0.528
O3 O 0.117 0.653 0.634
O4 O 0.179 0.625 0.341
O5 O 0.185 0.945 0.759
O6 O 0.195 0.528 0.098
O7 O 0.241 0.815 0.055
O8 O 0.341 0.179 0.625
O9 O 0.347 0.366 0.883
O10 O 0.366 0.883 0.347
O11 O 0.375 0.659 0.821
O12 O 0.472 0.902 0.805
O13 O 0.528 0.098 0.195
O14 O 0.625 0.341 0.179
O15 O 0.634 0.117 0.653
O16 O 0.653 0.634 0.117
O17 O 0.659 0.821 0.375
O18 O 0.759 0.185 0.945
O19 O 0.805 0.472 0.902
O20 O 0.815 0.055 0.241
O21 O 0.821 0.375 0.659
O22 O 0.883 0.347 0.366
O23 O 0.902 0.805 0.472
O24 O 0.945 0.759 0.185
```